VASP calculation (PBE) on an optimized crystal structure of Sr2AlHg.

a b c (Å): 7.8167 7.8167 7.8167
angles (deg): 90.00 90.00 90.00
Space group F-43m (No. 216)
Unique sites:
1 Sr 0.0000 0.0000 0.0000 (multiplicity 4)
2 Sr 0.2500 0.2500 0.2500 (multiplicity 4)
3 Al 0.0000 0.0000 0.5000 (multiplicity 4)
4 Hg 0.2500 0.2500 0.7500 (multiplicity 4)

Values from the calculation:
Distance to the lowest polymorph of the same formula (kJ/mol of formula units): 102

VASP calculation (PBE) on an optimized crystal structure of SrAl2Hg.

a b c (Å): 3.5746 3.5746 7.5359
angles (deg): 90.00 90.00 90.00
Space group P4mm (No. 99)
Unique sites:
1 Sr 0.0000 0.0000 0.0000 (multiplicity 1)
2 Al 0.0000 0.0000 0.4828 (multiplicity 1)
3 Al 0.5000 0.5000 0.3075 (multiplicity 1)
4 Hg 0.5000 0.5000 0.7016 (multiplicity 1)

Values from the calculation:
Distance to the lowest polymorph of the same formula (kJ/mol of formula units): 44

VASP calculation (PBE) on an optimized crystal structure of SrAl2Hg.

a b c (Å): 6.2833 10.6312 3.2914
angles (deg): 90.00 113.26 90.00
Space group C2/m (No. 12)
Unique sites:
1 Sr 0.0000 0.0000 0.0000 (multiplicity 2)
2 Al 0.2500 0.2500 0.5000 (multiplicity 4)
3 Hg 0.0000 0.5000 0.0000 (multiplicity 2)

Values from the calculation:
Distance to the lowest polymorph of the same formula (kJ/mol of formula units): 141

VASP calculation (PBE) on an optimized crystal structure of SrAl2Hg.

a b c (Å): 3.6017 3.7868 7.3582
angles (deg): 90.00 90.00 90.00
Space group Pmmm (No. 47)
Unique sites:
1 Sr 0.0000 0.0000 0.0000 (multiplicity 1)
2 Al 0.5000 0.5000 0.3133 (multiplicity 2)
3 Hg 0.0000 0.0000 0.5000 (multiplicity 1)

Values from the calculation:
Distance to the lowest polymorph of the same formula (kJ/mol of formula units): 77

VASP calculation (PBE) on an optimized crystal structure of SrAlHg.

a b c (Å): 11.3439 4.8331 7.9376
angles (deg): 90.00 132.27 90.00
Space group C2/m (No. 12)
Unique sites:
1 Sr 0.0453 0.0000 0.3056 (multiplicity 4)
2 Al 0.1547 0.5000 0.0989 (multiplicity 4)
3 Hg 0.1805 0.5000 0.7386 (multiplicity 4)

Values from the calculation:
Distance to the lowest polymorph of the same formula (kJ/mol of formula units): 5

VASP calculation (PBE) on an optimized crystal structure of SrAlHg.

a b c (Å): 4.8475 7.8956 8.3702
angles (deg): 90.00 90.00 90.00
Space group Imm2 (No. 44)
Unique sites:
1 Sr 0.0000 0.0000 0.0000 (multiplicity 2)
2 Sr 0.0000 0.5000 0.0783 (multiplicity 2)
3 Al 0.0000 0.3198 0.7095 (multiplicity 4)
4 Hg 0.0000 0.2201 0.3777 (multiplicity 4)

Values from the calculation:
Distance to the lowest polymorph of the same formula (kJ/mol of formula units): 0

VASP calculation (PBE) on an optimized crystal structure of Sr5AlHg4.

a b c (Å): 3.9937 3.9937 19.9395
angles (deg): 90.00 90.00 90.00
Space group P4/mmm (No. 123)
Unique sites:
1 Sr 0.0000 0.0000 0.0000 (multiplicity 1)
2 Sr 0.0000 0.0000 0.2018 (multiplicity 2)
3 Sr 0.0000 0.0000 0.4028 (multiplicity 2)
4 Al 0.5000 0.5000 0.5000 (multiplicity 1)
5 Hg 0.5000 0.5000 0.1007 (multiplicity 2)
6 Hg 0.5000 0.5000 0.3040 (multiplicity 2)

VASP calculation (PBE) on an optimized crystal structure of SrAl3Hg.

a b c (Å): 24.9360 4.3263 4.4096
angles (deg): 90.00 100.12 90.00
Space group C2/m (No. 12)
Unique sites:
1 Sr 0.0874 0.0000 0.3365 (multiplicity 4)
2 Al 0.0260 0.5000 0.7756 (multiplicity 4)
3 Al 0.2102 0.0000 0.9620 (multiplicity 4)
4 Al 0.2135 0.5000 0.4620 (multiplicity 4)
5 Hg 0.1371 0.5000 0.8854 (multiplicity 4)

Values from the calculation:
Distance to the lowest polymorph of the same formula (kJ/mol of formula units): 0

VASP calculation (PBE) on an optimized crystal structure of Sr2Al3Hg.

a b c (Å): 4.2415 4.6910 8.2116
angles (deg): 90.00 90.00 90.00
Space group Pmm2 (No. 25)
Unique sites:
1 Sr 0.0000 0.0000 0.0000 (multiplicity 1)
2 Sr 0.0000 0.5000 0.4975 (multiplicity 1)
3 Al 0.5000 0.0000 0.3334 (multiplicity 1)
4 Al 0.5000 0.0000 0.6596 (multiplicity 1)
5 Al 0.5000 0.5000 0.1699 (multiplicity 1)
6 Hg 0.5000 0.5000 0.8324 (multiplicity 1)

VASP calculation (PBE) on an optimized crystal structure of SrAl3Hg.

a b c (Å): 5.2166 5.2166 5.2166
angles (deg): 90.00 90.00 90.00
Space group Pm-3m (No. 221)
Unique sites:
1 Sr 0.0000 0.0000 0.0000 (multiplicity 1)
2 Al 0.0000 0.5000 0.5000 (multiplicity 3)
3 Hg 0.5000 0.5000 0.5000 (multiplicity 1)

Values from the calculation:
Distance to the lowest polymorph of the same formula (kJ/mol of formula units): 256

VASP calculation (PBE) on an optimized crystal structure of SrAl2Hg.

a b c (Å): 5.0194 5.0194 18.9163
angles (deg): 90.00 90.00 90.00
Space group I-42d (No. 122)
Unique sites:
1 Sr 0.0000 0.0000 0.0000 (multiplicity 4)
2 Al 0.0512 0.2500 0.6250 (multiplicity 8)
3 Hg 0.0000 0.0000 0.5000 (multiplicity 4)

Values from the calculation:
Distance to the lowest polymorph of the same formula (kJ/mol of formula units): 81

VASP calculation (PBE) on an optimized crystal structure of Sr3Al4Hg2.

a b c (Å): 11.5202 4.8472 9.1989
angles (deg): 90.00 112.37 90.00
Space group C2/m (No. 12)
Unique sites:
1 Sr 0.0000 0.0000 0.0000 (multiplicity 2)
2 Sr 0.1809 0.5000 0.6533 (multiplicity 4)
3 Al 0.0124 0.0000 0.3574 (multiplicity 4)
4 Al 0.2480 0.5000 0.0786 (multiplicity 4)
5 Hg 0.0925 0.5000 0.2640 (multiplicity 4)

no.,D(E_F) (states/eV/f.u.),ΔH_f (0 K) (eV per atom)
1,1.6,-0.05
2,1.5,-0.13
3,2.3,0.12
4,1.0,-0.04
5,1.4,-0.38
6,1.1,-0.40
7,6.6,-0.45
8,1.4,-0.19
9,3.2,-0.28
10,3.2,0.34
11,1.9,-0.03
12,3.3,-0.32